[1]
Entry from the Alexandria database: a relaxed structure of Ac3CdSi2Pd9 (GGA-PBE).

Values from the calculation:
- Symmetry: P-3m1 (164)
- ΔE_f (raw): -64.6 kJ per mole of atoms

Cell: 6.119 6.119 10.472 Å, 90.00 90.00 120.00°
Element x y z (fractional)
Ac1 0.333 0.667 0.696
Pd1 0.692 0.846 0.288
Pd2 0.846 0.154 0.712
Si1 0.333 0.667 0.157
Pd3 0.846 0.692 0.712
Cd1 0.000 0.000 0.500
Pd4 0.500 0.500 0.000
Ac2 0.000 0.000 0.000
Ac3 0.667 0.333 0.304
Pd5 0.154 0.308 0.288
Pd6 0.154 0.846 0.288
Si2 0.667 0.333 0.843
Pd7 0.308 0.154 0.712
Pd8 0.000 0.500 0.000
Pd9 0.500 0.000 0.000



[2]
Entry from the Alexandria database: a relaxed structure of AcSmCdPd (GGA-PBE).

Values from the calculation:
- Symmetry: F-43m (216)
- ΔH_f (0 K): -0.4403 eV/atom

Cell: 5.412 5.412 5.412 Å, 60.00 60.00 60.00°
Element x y z (fractional)
Sm1 0.250 0.250 0.250
Cd1 0.500 0.500 0.500
Ac1 0.750 0.750 0.750
Pd1 0.000 0.000 0.000



V: 339.5 112.1 (Å³ per cell)